Entry from Alexandria via LeMat-Bulk: a relaxed Y2CdPd9 crystal (PBE).

E_form	-640	meV/atom
total magnetization	0.00	μB per cell
volume	17.2	Å³ per atom
total energy	-5.688	eV per atom
calculated density	10.02	g/cm³

abc: 4.0990 4.0990 12.3124
angles: 90.00 90.00 90.00
Last column: nearest neighbours and their distance in Å.
Space group P4/mmm (No. 123)
Inequivalent atoms, fractional coordinates:
Y 0.0000 0.0000 0.1711  12 Pd 2.90-2.94
Cd 0.0000 0.0000 0.5000  12 Pd 2.86-2.90
Pd 0.0000 0.5000 0.0000  8 Pd 2.90-2.91, 4 Y 2.94
Pd 0.0000 0.5000 0.3378  8 Pd 2.86-2.93, 2 Cd 2.86, 2 Y 2.90
Pd 0.5000 0.5000 0.1674  4 Y 2.90, 8 Pd 2.91-2.93
Pd 0.5000 0.5000 0.5000  8 Pd 2.86, 4 Cd 2.90